Entry from Alexandria: MnIr2Au after structural relaxation (PBE).

```
data_MnIr2Au
_cell_length_a 2.798
_cell_length_b 2.798
_cell_length_c 7.810
_cell_angle_alpha 90.00
_cell_angle_beta 90.00
_cell_angle_gamma 90.00
_space_group_name_H-M_alt 'P 4 m m'
_space_group_IT_number 99
loop_
_space_group_symop_operation_xyz
'x,y,z'
'-y,x,z'
'-x,-y,z'
'y,-x,z'
'-x,y,z'
'y,x,z'
'x,-y,z'
'-y,-x,z'
loop_
_atom_site_label
_atom_site_type_symbol
_atom_site_fract_x
_atom_site_fract_y
_atom_site_fract_z
Mn1 Mn 0.000 0.000 0.000
Ir1 Ir 0.000 0.000 0.531
Ir2 Ir 0.500 0.500 0.766
Au1 Au 0.500 0.500 0.256
```

The value obtained for the volume is 15.3 A^3/atom. As for the electronic total energy: -7.45 eV per atom.